(1)
# CaIrRh2 PBE relaxed
data_CaIrRh2
_chemical_formula_sum 'Ca1 Ir1 Rh2'
_symmetry_space_group_name_H-M 'P m m m'
_symmetry_Int_Tables_number 47
_cell_length_a 2.910
_cell_length_b 4.676
_cell_length_c 4.817
_cell_angle_alpha 90.00
_cell_angle_beta 90.00
_cell_angle_gamma 90.00
loop_
_symmetry_equiv_pos_as_xyz
'x,y,z'
'-x,-y,-z'
'-x,-y,z'
'x,y,-z'
'x,-y,-z'
'-x,y,z'
'-x,y,-z'
'x,-y,z'
loop_
_atom_site_label
_atom_site_type_symbol
_atom_site_fract_x
_atom_site_fract_y
_atom_site_fract_z
Ca1 Ca 0.000 0.000 0.000
Ir1 Ir 0.500 0.000 0.500
Rh1 Rh 0.000 0.500 0.500
Rh2 Rh 0.500 0.500 0.000
# - E (eV per formula unit) = -25.16
# - E_form (kJ/mol of formula units) = 39
# - V (Å³/cell) = 66
# - ρ (Mg/m³) = 11.10
# - crystal system = orthorhombic



(2)
# Ac2ScURh6 PBE relaxed
data_Ac2ScURh6
_chemical_formula_sum 'Ac8 Sc4 U4 Rh24'
_symmetry_space_group_name_H-M 'F m -3 m'
_symmetry_Int_Tables_number 225
_symmetry_space_group_name_Hall '-F 4 2 3'
_cell_length_a 9.778
_cell_length_b 9.778
_cell_length_c 9.778
_cell_angle_alpha 90.00
_cell_angle_beta 90.00
_cell_angle_gamma 90.00
loop_
_atom_site_label
_atom_site_type_symbol
_atom_site_fract_x
_atom_site_fract_y
_atom_site_fract_z
Ac1 Ac 0.250 0.250 0.250
Sc1 Sc 0.000 0.000 0.000
U1 U 0.000 0.000 0.500
Rh1 Rh 0.000 0.000 0.250
# - E (eV per formula unit) = -72.66
# - E_form (kJ/mol of formula units) = -262
# - V (Å³/cell) = 935
# - ρ (Mg/m³) = 9.62
# - crystal system = cubic



Q: Look up the ρ of the first one.
A: 11.10 Mg/m³